(1)
A plane-wave DFT calculation with PBE was carried out for an optimized crystal structure of MgBe2Pt.

Unit cell a=2.890 b=2.890 c=6.094 alpha=90.00 beta=90.00 gamma=90.00
Sites, in units of the cell vectors:
Mg: 0.000 0.000 0.000
Be: 0.000 0.000 0.524
Be: 0.500 0.500 0.703
Pt: 0.500 0.500 0.316

Magnetic moment, μB/atom: 0.000
Final energy, eV per atom: -4.081
ρ, Mg/m³: 7.74
N(E_F), states/eV per cell: 1.02



(2)
A plane-wave DFT calculation with PBE was carried out for an optimized crystal structure of LuHfFeIr.

Unit cell a=4.607 b=4.607 c=4.607 alpha=60.00 beta=60.00 gamma=60.00
Sites, in units of the cell vectors:
Lu: 0.000 0.000 0.000
Hf: 0.500 0.500 0.500
Fe: 0.750 0.750 0.750
Ir: 0.250 0.250 0.250

Magnetic moment, μB/atom: 0.045
Final energy, eV per atom: -8.519
ρ, Mg/m³: 14.44
N(E_F), states/eV per cell: 1.42